No. 1
Compound: MnFeP2
Source: Alexandria
Functional: GGA-PBEsol
Structure: relaxed

Calculated values
* formation enthalpy at 0 K: -137 meV/atom
* space-group type: P4mm, No. 99

Lattice parameters (Å, degrees): 2.627 2.627 6.938 90.00 90.00 90.00
Element x y z (fractional)
Fe1 0.000 0.000 0.505
Mn1 0.500 0.500 0.742
P1 0.000 0.000 0.939
P2 0.500 0.500 0.313


No. 2
Compound: MoCl3
Source: Alexandria
Functional: GGA-PBEsol
Structure: relaxed

Calculated values
* formation energy (no corrections): -0.6742 eV per atom
* space-group type: Cmmm, No. 65

Lattice parameters (Å, degrees): 3.554 4.833 6.652 111.30 90.00 90.00
Element x y z (fractional)
Mo1 0.500 0.000 0.500
Cl1 0.000 0.134 0.767
Cl2 0.500 0.500 0.500
Cl3 0.000 0.866 0.233


Summary of ΔE to the lowest computed polymorph in meV/atom
570, 205
(order as listed above)
Summary of theoretical density in g/cm3
6.0, 3.2
(order as listed above)